LuGaGe3 | the Open Quantum Materials Database | PBE | relaxed; space-group type = R-3c, No. 167; VASP energy = -41.19 eV/cell
1.0
2.8735 1.6590 9.1552
-2.8735 1.6590 9.1552
0.0000 -3.3181 9.1552
Lu Ga Ge
2 2 6
direct
0.0000 0.0000 0.0000
0.5000 0.5000 0.5000
0.2500 0.2500 0.2500
0.7500 0.7500 0.7500
0.1961 0.7500 0.3039
0.2500 0.6961 0.8039
0.3039 0.1961 0.7500
0.6961 0.8039 0.2500
0.7500 0.3039 0.1961
0.8039 0.2500 0.6961

SiNiB | the Open Quantum Materials Database | PBE | relaxed; space-group type = F-43m, No. 216; VASP energy = -71.53 eV/cell; relative energy among the computed polymorphs = 0.0000 eV/atom
1.0
4.9604 0.0000 0.0000
0.0000 4.9604 0.0000
0.0000 0.0000 4.9604
Si Ni B
4 4 4
direct
0.0000 0.0000 0.0000
0.0000 0.5000 0.5000
0.5000 0.0000 0.5000
0.5000 0.5000 0.0000
0.0000 0.0000 0.5000
0.0000 0.5000 0.0000
0.5000 0.0000 0.0000
0.5000 0.5000 0.5000
0.2500 0.2500 0.7500
0.2500 0.7500 0.2500
0.7500 0.2500 0.2500
0.7500 0.7500 0.7500

TmTaBi | the Open Quantum Materials Database | PBE | relaxed; space-group type = F-43m, No. 216; VASP energy = -69.95 eV/cell; relative energy among the computed polymorphs = 0.3932 eV/atom
1.0
7.0782 0.0000 0.0000
0.0000 7.0782 0.0000
0.0000 0.0000 7.0782
Tm Ta Bi
4 4 4
direct
0.0000 0.0000 0.0000
0.0000 0.5000 0.5000
0.5000 0.0000 0.5000
0.5000 0.5000 0.0000
0.2500 0.2500 0.2500
0.2500 0.7500 0.7500
0.7500 0.2500 0.7500
0.7500 0.7500 0.2500
0.2500 0.2500 0.7500
0.2500 0.7500 0.2500
0.7500 0.2500 0.2500
0.7500 0.7500 0.7500

BaNbO3 | the Open Quantum Materials Database | PBE | relaxed; space-group type = P6_3/mmc, No. 194; VASP energy = -79.06 eV/cell
1.0
5.9205 0.0000 0.0000
-2.9602 5.1273 0.0000
0.0000 0.0000 5.0355
Ba Nb O
2 2 6
direct
0.3333 0.6667 0.2500
0.6667 0.3333 0.7500
0.0000 0.0000 0.0000
0.0000 0.0000 0.5000
0.1624 0.3248 0.7500
0.1624 0.8376 0.7500
0.3248 0.1624 0.2500
0.6752 0.8376 0.7500
0.8376 0.1624 0.2500
0.8376 0.6752 0.2500

LiSmZr | the Open Quantum Materials Database | PBE | relaxed; space-group type = F-43m, No. 216; VASP energy = -47.06 eV/cell
1.0
6.8028 0.0000 0.0000
0.0000 6.8028 0.0000
0.0000 0.0000 6.8028
Li Sm Zr
4 4 4
direct
0.0000 0.0000 0.0000
0.0000 0.5000 0.5000
0.5000 0.0000 0.5000
0.5000 0.5000 0.0000
0.2500 0.2500 0.2500
0.2500 0.7500 0.7500
0.7500 0.2500 0.7500
0.7500 0.7500 0.2500
0.0000 0.0000 0.5000
0.0000 0.5000 0.0000
0.5000 0.0000 0.0000
0.5000 0.5000 0.5000

NaInTeOs | the Open Quantum Materials Database | PBE | relaxed; space-group type = F-43m, No. 216; VASP energy = -68.32 eV/cell; relative energy among the computed polymorphs = 0.0000 eV/atom
1.0
6.7849 0.0000 0.0000
0.0000 6.7849 0.0000
0.0000 0.0000 6.7849
Na In Te Os
4 4 4 4
direct
0.0000 0.0000 0.0000
0.0000 0.5000 0.5000
0.5000 0.0000 0.5000
0.5000 0.5000 0.0000
0.2500 0.2500 0.7500
0.2500 0.7500 0.2500
0.7500 0.2500 0.2500
0.7500 0.7500 0.7500
0.2500 0.2500 0.2500
0.2500 0.7500 0.7500
0.7500 0.2500 0.7500
0.7500 0.7500 0.2500
0.0000 0.0000 0.5000
0.0000 0.5000 0.0000
0.5000 0.0000 0.0000
0.5000 0.5000 0.5000

ScGa2Ni3 | the Open Quantum Materials Database | PBE | relaxed; space-group type = P6_3/mmc, No. 194; VASP energy = -64.90 eV/cell
1.0
4.0973 0.0000 0.0000
-2.0487 3.5484 0.0000
0.0000 0.0000 11.3557
Sc Ga Ni
2 4 6
direct
0.0000 0.0000 0.2500
0.0000 0.0000 0.7500
0.3333 0.6667 0.0879
0.3333 0.6667 0.4121
0.6667 0.3333 0.5879
0.6667 0.3333 0.9121
0.0000 0.0000 0.0000
0.0000 0.0000 0.5000
0.3333 0.6667 0.6306
0.3333 0.6667 0.8694
0.6667 0.3333 0.1306
0.6667 0.3333 0.3694

PuBeBi | the Open Quantum Materials Database | PBE | relaxed; space-group type = F-43m, No. 216; VASP energy = -87.07 eV/cell
1.0
6.4755 0.0000 0.0000
0.0000 6.4755 0.0000
0.0000 0.0000 6.4755
Pu Be Bi
4 4 4
direct
0.0000 0.0000 0.0000
0.0000 0.5000 0.5000
0.5000 0.0000 0.5000
0.5000 0.5000 0.0000
0.2500 0.2500 0.7500
0.2500 0.7500 0.2500
0.7500 0.2500 0.2500
0.7500 0.7500 0.7500
0.0000 0.0000 0.5000
0.0000 0.5000 0.0000
0.5000 0.0000 0.0000
0.5000 0.5000 0.5000

Dy2Y2Er3Ni2Te2 | the Open Quantum Materials Database | PBE | relaxed; space-group type = Imm2, No. 44; VASP energy = -60.62 eV/cell; relative energy among the computed polymorphs = 0.0091 eV/atom
1.0
-1.9238 7.8010 4.7885
1.9238 -7.8010 4.7885
1.9238 7.8010 -4.7885
Dy Y Er Ni Te
2 2 3 2 2
direct
0.1464 0.0000 0.1464
0.8536 0.0000 0.8536
0.1670 0.3513 0.8156
0.5357 0.3513 0.1844
0.2317 0.7317 0.5000
0.5181 0.1497 0.3684
0.7813 0.1497 0.6316
0.3981 0.6594 0.7387
0.9207 0.6594 0.2613
0.4960 0.4960 0.0000
0.8957 0.3957 0.5000

Cs2HfS3 | the Open Quantum Materials Database | PBE | relaxed; space-group type = P2_1/m, No. 11; VASP energy = -65.03 eV/cell
1.0
8.4014 0.0000 0.0000
0.0000 3.9217 0.0000
-1.3077 0.0000 10.9352
Cs Hf S
4 2 6
direct
0.0804 0.2500 0.1465
0.2515 0.7500 0.4818
0.7485 0.2500 0.5182
0.9196 0.7500 0.8535
0.4098 0.2500 0.8406
0.5902 0.7500 0.1594
0.1593 0.2500 0.7104
0.3296 0.7500 0.9828
0.4641 0.2500 0.2703
0.5359 0.7500 0.7297
0.6704 0.2500 0.0172
0.8407 0.7500 0.2896

Hf2ZrNi4As4 | the Open Quantum Materials Database | PBE | relaxed; space-group type = Pm, No. 6; VASP energy = -77.75 eV/cell; relative energy among the computed polymorphs = 0.0000 eV/atom
1.0
6.4350 0.0000 0.0000
0.0000 3.8160 0.0000
-0.0195 0.0000 7.2579
Hf Zr Ni As
2 1 4 4
direct
0.0000 0.0000 0.0000
0.0520 0.5000 0.6251
0.5091 0.0000 0.1373
0.1671 0.5000 0.2556
0.3845 0.0000 0.7569
0.6804 0.5000 0.8722
0.9125 0.0000 0.3761
0.2932 0.0000 0.4425
0.2966 0.5000 0.9370
0.7545 0.0000 0.6825
0.7911 0.5000 0.2117

YGaIr | the Open Quantum Materials Database | PBE | relaxed; space-group type = Pnma, No. 62; VASP energy = -83.77 eV/cell
1.0
6.8483 0.0000 0.0000
0.0000 4.3122 0.0000
0.0000 0.0000 7.8637
Y Ga Ir
4 4 4
direct
0.0283 0.2500 0.1838
0.4717 0.7500 0.6838
0.5283 0.2500 0.3162
0.9717 0.7500 0.8162
0.1499 0.2500 0.5644
0.3501 0.7500 0.0644
0.6499 0.2500 0.9356
0.8501 0.7500 0.4356
0.2311 0.7500 0.3820
0.2689 0.2500 0.8820
0.7311 0.7500 0.1180
0.7689 0.2500 0.6180

CoBIrOs | the Open Quantum Materials Database | PBE | relaxed; space-group type = F-43m, No. 216; VASP energy = -124.43 eV/cell; relative energy among the computed polymorphs = 0.0000 eV/atom
1.0
5.8090 0.0000 0.0000
0.0000 5.8090 0.0000
0.0000 0.0000 5.8090
Co B Ir Os
4 4 4 4
direct
0.0000 0.0000 0.0000
0.0000 0.5000 0.5000
0.5000 0.0000 0.5000
0.5000 0.5000 0.0000
0.2500 0.2500 0.7500
0.2500 0.7500 0.2500
0.7500 0.2500 0.2500
0.7500 0.7500 0.7500
0.2500 0.2500 0.2500
0.2500 0.7500 0.7500
0.7500 0.2500 0.7500
0.7500 0.7500 0.2500
0.0000 0.0000 0.5000
0.0000 0.5000 0.0000
0.5000 0.0000 0.0000
0.5000 0.5000 0.5000

La2Er2CI5 | the Open Quantum Materials Database | PBE | relaxed; space-group type = C2/m, No. 12; VASP energy = -47.18 eV/cell
1.0
9.8554 -2.0380 0.0000
9.8554 2.0380 0.0000
-1.9409 0.0000 8.7926
La Er C I
2 2 1 5
direct
0.0007 0.0007 0.3027
0.9993 0.9993 0.6973
0.3759 0.3759 0.4392
0.6241 0.6241 0.5608
0.5000 0.5000 0.5000
0.1678 0.1678 0.8182
0.1703 0.1703 0.3458
0.5000 0.5000 0.0000
0.8297 0.8297 0.6542
0.8322 0.8322 0.1818

PmTaAsO | the Open Quantum Materials Database | PBE | relaxed; space-group type = P4/nmm, No. 129; VASP energy = -66.90 eV/cell; relative energy among the computed polymorphs = 0.0000 eV/atom
1.0
4.0084 0.0000 0.0000
0.0000 4.0084 0.0000
0.0000 0.0000 9.2144
Pm Ta As O
2 2 2 2
direct
0.2500 0.2500 0.1274
0.7500 0.7500 0.8726
0.2500 0.7500 0.5000
0.7500 0.2500 0.5000
0.2500 0.2500 0.6937
0.7500 0.7500 0.3063
0.2500 0.7500 0.0000
0.7500 0.2500 0.0000

BaZn2GePt | the Open Quantum Materials Database | PBE | relaxed; space-group type = I4mm, No. 107; VASP energy = -35.52 eV/cell
1.0
4.5008 0.0000 0.0000
0.0000 4.5008 0.0000
0.0000 0.0000 10.7257
Ba Zn Ge Pt
2 4 2 2
direct
0.0000 0.0000 0.0000
0.5000 0.5000 0.5000
0.0000 0.5000 0.2505
0.0000 0.5000 0.7505
0.5000 0.0000 0.2505
0.5000 0.0000 0.7505
0.0000 0.0000 0.6184
0.5000 0.5000 0.1184
0.0000 0.0000 0.3798
0.5000 0.5000 0.8798

Zn2CoB | the Open Quantum Materials Database | PBE | relaxed; space-group type = F-43m, No. 216; VASP energy = -57.73 eV/cell
1.0
5.5841 0.0000 0.0000
0.0000 5.5841 0.0000
0.0000 0.0000 5.5841
Zn Co B
8 4 4
direct
0.0000 0.0000 0.0000
0.0000 0.5000 0.5000
0.2500 0.2500 0.2500
0.2500 0.7500 0.7500
0.5000 0.0000 0.5000
0.5000 0.5000 0.0000
0.7500 0.2500 0.7500
0.7500 0.7500 0.2500
0.0000 0.0000 0.5000
0.0000 0.5000 0.0000
0.5000 0.0000 0.0000
0.5000 0.5000 0.5000
0.2500 0.2500 0.7500
0.2500 0.7500 0.2500
0.7500 0.2500 0.2500
0.7500 0.7500 0.7500

KHgPt | the Open Quantum Materials Database | PBE | relaxed; space-group type = F-43m, No. 216; VASP energy = -28.35 eV/cell; relative energy among the computed polymorphs = 0.0000 eV/atom
1.0
6.9901 0.0000 0.0000
0.0000 6.9901 0.0000
0.0000 0.0000 6.9901
K Hg Pt
4 4 4
direct
0.0000 0.0000 0.0000
0.0000 0.5000 0.5000
0.5000 0.0000 0.5000
0.5000 0.5000 0.0000
0.0000 0.0000 0.5000
0.0000 0.5000 0.0000
0.5000 0.0000 0.0000
0.5000 0.5000 0.5000
0.2500 0.2500 0.7500
0.2500 0.7500 0.2500
0.7500 0.2500 0.2500
0.7500 0.7500 0.7500

SmTlNO | the Open Quantum Materials Database | PBE | relaxed; space-group type = Pmc2_1, No. 26; VASP energy = -49.01 eV/cell; relative energy among the computed polymorphs = 0.1485 eV/atom
1.0
3.9325 0.0000 0.0000
0.0000 6.6700 0.0000
0.0000 0.0000 6.1166
Sm Tl N O
2 2 2 2
direct
0.0000 0.1759 0.0000
0.0000 0.8241 0.5000
0.5000 0.3341 0.5051
0.5000 0.6659 0.0051
0.5000 0.3336 0.8929
0.5000 0.6664 0.3929
0.0000 0.1332 0.3628
0.0000 0.8668 0.8628

NaErCdTe3 | the Open Quantum Materials Database | PBE | relaxed; space-group type = C2/m, No. 12; VASP energy = -43.05 eV/cell; relative energy among the computed polymorphs = 0.0639 eV/atom
1.0
9.7960 -2.1716 0.0000
9.7960 2.1716 0.0000
-2.2308 0.0000 9.0605
Na Er Cd Te
2 2 2 6
direct
0.1283 0.1283 0.0767
0.8717 0.8717 0.9233
0.1787 0.1787 0.5917
0.8213 0.8213 0.4083
0.4674 0.4674 0.2764
0.5326 0.5326 0.7236
0.0000 0.0000 0.5000
0.3186 0.3186 0.1758
0.3354 0.3354 0.6410
0.5000 0.5000 0.0000
0.6646 0.6646 0.3590
0.6814 0.6814 0.8242